(1)
BaCr2Cl: optimized geometry, PBE-GGA.

Structure (POSCAR):
```
BaCr2Cl
1.0
-1.8933 -0.8306 5.0520
1.0387 -5.3325 -0.5318
3.2680 4.3722 0.0368
Ba Cr Cl
1 2 1
Direct
0.4938 0.4938 0.0000
0.9999 0.9999 0.0000
0.8316 0.3316 0.5000
0.1748 0.6748 0.5000
```

The symmetry is Imm2 (44). The energy comes out at -5.5537 eV/atom. Its uncorrected formation energy is 0.2003 eV per atom. The calculation puts the density of states at the Fermi level at 3.207 states/eV per cell.

(2)
Ba2CrCl: optimized geometry, PBE-GGA.

Structure (POSCAR):
```
Ba2CrCl
1.0
-4.6005 -4.1919 1.6331
3.8198 -3.9902 3.3002
-1.8926 6.1256 0.5465
Ba Cr Cl
2 1 1
Direct
0.5304 0.5304 0.0000
0.9696 0.9696 0.0000
0.2500 0.7500 0.5000
0.7500 0.2500 0.5000
```

The symmetry is Immm (71). The energy comes out at -4.0757 eV/atom. Its uncorrected formation energy is -0.2468 eV per atom. The calculation puts the density of states at the Fermi level at 3.921 states/eV per cell.

(3)
Ba2CrCl: optimized geometry, PBE-GGA.

Structure (POSCAR):
```
Ba2CrCl
1.0
9.1487 0.0299 0.0180
8.0453 4.3558 0.0180
8.0453 2.0521 3.8422
Ba Cr Cl
2 1 1
Direct
0.5000 0.5000 0.5000
0.0000 0.0000 0.0000
0.7500 0.7500 0.7500
0.2500 0.2500 0.2500
```

The symmetry is R-3m (166). The energy comes out at -4.2301 eV/atom. Its uncorrected formation energy is -0.4013 eV per atom. The calculation puts the density of states at the Fermi level at 4.351 states/eV per cell.

(4)
Ba2CrCl: optimized geometry, PBE-GGA.

Structure (POSCAR):
```
Ba2CrCl
1.0
2.0216 -5.4933 -1.0375
-3.6531 -4.6603 0.5258
-1.7688 -2.9520 -4.8474
Ba Cr Cl
2 1 1
Direct
0.7500 0.7500 0.7500
0.2500 0.2500 0.2500
0.5000 0.5000 0.5000
0.0000 0.0000 0.0000
```

The symmetry is Fm-3m (225). The energy comes out at -4.0392 eV/atom. Its uncorrected formation energy is -0.2103 eV per atom. The calculation puts the density of states at the Fermi level at 5.720 states/eV per cell.

(5)
Ba2CrCl6: optimized geometry, PBE-GGA.

Structure (POSCAR):
```
Ba2CrCl6
1.0
6.6097 0.0000 -0.0362
0.0000 8.4044 0.0000
0.2706 0.0000 9.5934
Ba Cl Cr
4 12 2
Direct
0.0481 0.6152 0.7365
0.9519 0.3848 0.2635
0.5481 0.8848 0.2365
0.4519 0.1152 0.7635
0.0936 0.0225 0.2600
0.9064 0.9775 0.7400
0.3078 0.8570 0.5434
0.1627 0.3133 0.5576
0.3373 0.8133 0.9424
0.6922 0.1430 0.4566
0.4064 0.5225 0.2400
0.6627 0.1867 0.0576
0.1922 0.3570 0.9566
0.8373 0.6867 0.4424
0.5936 0.4775 0.7600
0.8078 0.6430 0.0434
0.0000 0.0000 0.5000
0.5000 0.5000 0.0000
```

The symmetry is P2_1/c (14). The energy comes out at -4.7374 eV/atom. Its uncorrected formation energy is -2.0098 eV per atom.

(6)
Cs2BaCrCl6: optimized geometry, PBE-GGA.

Structure (POSCAR):
```
Cs2BaCrCl6
1.0
7.8247 0.0000 0.0000
0.0000 7.8247 0.0000
3.9123 3.9123 5.5313
Cl Cs Ba Cr
6 2 1 1
Direct
0.2725 0.2725 0.0000
0.2725 0.7275 0.0000
0.7275 0.2725 0.0000
0.7275 0.7275 0.0000
0.2726 0.2726 0.4548
0.7274 0.7274 0.5452
0.7500 0.2500 0.5000
0.2500 0.7500 0.5000
0.0000 0.0000 0.0000
0.5000 0.5000 0.0000
```

The symmetry is Fm-3m (225). The energy comes out at -4.2405 eV/atom. Its uncorrected formation energy is -1.8072 eV per atom. The calculation puts the density of states at the Fermi level at 8.930 states/eV per cell.

(7)
CsBaCr2Cl8: optimized geometry, PBE-GGA.

Structure (POSCAR):
```
CsBaCr2Cl8
1.0
-0.5202 -3.7332 5.8184
-0.9508 -3.0329 -6.1610
10.0792 -2.1665 -0.4890
Cl Cs Ba Cr
8 1 1 2
Direct
0.3333 0.6667 0.9665
0.9889 0.6558 0.3050
0.6558 0.6669 0.6950
0.0111 0.3442 0.6950
0.3331 0.9889 0.6950
0.6667 0.3333 0.0335
0.6669 0.0111 0.3050
0.3442 0.3331 0.3050
0.0000 0.0000 0.0000
0.0000 0.0000 0.5000
0.6667 0.3333 0.2473
0.3333 0.6667 0.7527
```

The symmetry is P-3 (147). The energy comes out at -4.5026 eV/atom. Its uncorrected formation energy is -1.4362 eV per atom. The calculation puts the density of states at the Fermi level at 15.162 states/eV per cell.

(8)
BaCrCu2Cl8: optimized geometry, PBE-GGA.

Structure (POSCAR):
```
BaCrCu2Cl8
1.0
6.0221 -0.4407 -0.0621
2.3869 5.5464 -0.0621
0.3078 0.1869 8.8942
Cu Cl Cr Ba
2 8 1 1
Direct
0.6521 0.6521 0.2103
0.3479 0.3479 0.7897
0.7636 0.7636 0.9906
0.3160 0.3160 0.5430
0.2405 0.7704 0.8083
0.7704 0.2405 0.8083
0.6840 0.6840 0.4570
0.7595 0.2296 0.1917
0.2364 0.2364 0.0094
0.2296 0.7595 0.1917
0.0000 0.0000 0.0000
0.0000 0.0000 0.5000
```

The symmetry is C2/m (12). The energy comes out at -4.0459 eV/atom. Its uncorrected formation energy is -1.1699 eV per atom. The calculation puts the density of states at the Fermi level at 8.004 states/eV per cell.

Q: Which formula does entry 4 have?
A: Ba2CrCl

Repeat the third record exactly.
Ba2CrCl: optimized geometry, PBE-GGA.

Structure (POSCAR):
```
Ba2CrCl
1.0
9.1487 0.0299 0.0180
8.0453 4.3558 0.0180
8.0453 2.0521 3.8422
Ba Cr Cl
2 1 1
Direct
0.5000 0.5000 0.5000
0.0000 0.0000 0.0000
0.7500 0.7500 0.7500
0.2500 0.2500 0.2500
```

The symmetry is R-3m (166). The energy comes out at -4.2301 eV/atom. Its uncorrected formation energy is -0.4013 eV per atom. The calculation puts the density of states at the Fermi level at 4.351 states/eV per cell.

Q: Which value of energy does entry 8 give?
A: -4.0459 eV/atom